No. 1
Entry from Alexandria: a geometry-optimized K4Th3CoSe8 structure (PBE-GGA).

Lattice parameters (Å, degrees): 8.429 9.151 8.431 117.42 119.99 90.00
Site moments in Bohr magnetons follow the coordinates.
Positions (direct):
K 0.500 0.000 0.000  0.01
K 0.500 0.000 0.500  0.00
K 0.000 0.000 0.000  0.00
K 0.000 0.000 0.500  0.00
Th 0.500 0.500 0.000  0.05
Th 0.500 0.500 0.500  0.05
Th 0.000 0.500 0.500  0.05
Co 0.000 0.500 0.000  1.99
Se 0.229 0.703 0.974  0.01
Se 0.229 0.704 0.458  0.01
Se 0.260 0.280 0.520  0.00
Se 0.746 0.703 0.974  0.01
Se 0.254 0.297 0.026  0.01
Se 0.740 0.720 0.480  0.00
Se 0.771 0.296 0.542  0.01
Se 0.771 0.297 0.026  0.01

***

No. 2
Entry from Alexandria: a geometry-optimized KTiCoSe3 structure (PBE-GGA).

Lattice parameters (Å, degrees): 3.664 8.779 9.615 114.91 90.00 90.00
Site moments in Bohr magnetons follow the coordinates.
Positions (direct):
K 0.250 0.230 0.247  0.00
K 0.750 0.770 0.753  0.00
Ti 0.250 0.693 0.168  -0.09
Ti 0.750 0.307 0.832  -0.09
Co 0.250 0.084 0.599  1.36
Co 0.750 0.916 0.401  1.36
Se 0.750 0.884 0.143  0.03
Se 0.250 0.116 0.857  0.03
Se 0.250 0.783 0.460  0.07
Se 0.750 0.217 0.540  0.07
Se 0.750 0.468 0.138  0.01
Se 0.250 0.532 0.862  0.01

***

ΔE_f (raw), record by record: -1.331; -0.951 eV per atom